# Sr2AlCu2MoO7 PBE+U relaxed
# DFT total energy: -6.22 eV/atom
# D(E_F): 2.60 states/eV/f.u.
# Total magnetization: 1.515 μB per formula unit
data_Sr2AlCu2MoO7
_chemical_formula_sum 'Sr8 Al4 Cu8 Mo4 O28'
_space_group_name_H-M_alt 'C 1 m 1'
_space_group_IT_number 8
_cell_length_a 7.5882
_cell_length_b 23.5804
_cell_length_c 5.3848
_cell_angle_alpha 90.00
_cell_angle_beta 134.06
_cell_angle_gamma 90.00
loop_
_space_group_symop_operation_xyz
'x,y,z'
'x,-y,z'
'x+1/2,y+1/2,z'
'x+1/2,-y+1/2,z'
loop_
_atom_site_label
_atom_site_fract_x
_atom_site_fract_y
_atom_site_fract_z
Sr1 0.0000 0.1076 0.0000
Sr2 0.4525 0.1100 0.9459
Al1 0.4885 0.2508 0.0016
Cu1 0.4815 0.3049 0.4936
Cu2 0.4882 0.1950 0.4991
Mo1 0.0790 0.5000 0.5204
Mo2 0.3750 0.5000 0.3805
O1 0.0017 0.0777 0.5164
O2 0.0178 0.5000 0.0705
O3 0.1605 0.3039 0.9982
O4 0.1620 0.1956 0.3494
O5 0.3058 0.1980 0.9960
O6 0.3120 0.3032 0.6517
O7 0.3981 0.5000 0.0052
O8 0.4612 0.0782 0.4415